Tb4Dy5Pu, optimized geometry, DFT PBE; SG = C2/m, No. 12; formation enthalpy at 0 K = 0.06 eV/atom; polymorph energy (0 for the lowest one) = 0 meV per atom
1.0
3.401 0.000 -0.837
-0.505 11.110 -2.052
0.276 -1.192 8.454
Dy Pu Tb
5 1 4
Direct
0.189 0.079 0.377
0.500 0.500 0.000
0.811 0.921 0.623
0.790 0.385 0.580
0.210 0.615 0.420
0.500 0.000 0.000
0.605 0.799 0.211
0.915 0.709 0.830
0.085 0.291 0.170
0.395 0.201 0.789

=====

Tb5Dy2Pu, optimized geometry, DFT PBE; SG = C2/c, No. 15; formation enthalpy at 0 K = 0.18 eV/atom
1.0
-5.290 -2.485 -3.119
0.902 -6.036 2.576
-9.431 -2.586 8.641
Pu Dy Tb
2 4 10
Direct
0.885 0.115 0.750
0.115 0.885 0.250
0.500 0.500 0.000
0.500 0.000 0.000
0.500 0.500 0.500
0.000 0.500 0.500
0.030 0.256 0.982
0.522 0.478 0.750
0.970 0.744 0.018
0.990 0.362 0.261
0.362 0.990 0.761
0.638 0.010 0.239
0.010 0.638 0.739
0.744 0.970 0.518
0.478 0.522 0.250
0.256 0.030 0.482

=====

TbDyPu2, optimized geometry, DFT PBE; SG = Fm-3m, No. 225; formation enthalpy at 0 K = 0.28 eV/atom; polymorph energy (0 for the lowest one) = 99 meV per atom
1.0
-2.550 4.218 2.427
-4.099 2.588 -2.586
-5.166 -0.570 1.782
Dy Pu Tb
1 2 1
Direct
0.000 0.000 0.000
0.250 0.250 0.250
0.750 0.750 0.750
0.500 0.500 0.500

=====

Tb12Dy7Pu, optimized geometry, DFT PBE; SG = R-3, No. 148; formation enthalpy at 0 K = 0.33 eV/atom; polymorph energy (0 for the lowest one) = 0 meV per atom
1.0
-5.298 -5.330 -4.175
6.227 -5.927 0.070
-2.943 -2.716 7.607
Pu Tb Dy
1 12 7
Direct
0.000 0.000 0.000
0.643 0.548 0.875
0.220 0.763 0.373
0.452 0.125 0.357
0.125 0.357 0.452
0.237 0.627 0.780
0.627 0.780 0.237
0.763 0.373 0.220
0.373 0.220 0.763
0.357 0.452 0.125
0.548 0.875 0.643
0.780 0.237 0.627
0.875 0.643 0.548
0.049 0.966 0.692
0.966 0.692 0.049
0.034 0.308 0.951
0.308 0.951 0.034
0.500 0.500 0.500
0.692 0.049 0.966
0.951 0.034 0.308

=====

Tb8Dy2Pu, optimized geometry, DFT PBE; SG = C2/m, No. 12; formation enthalpy at 0 K = 0.20 eV/atom; polymorph energy (0 for the lowest one) = 155 meV per atom
1.0
6.656 0.289 0.202
1.201 8.548 1.945
1.201 4.768 7.357
Tb Pu Dy
8 1 2
Direct
0.394 0.176 0.656
0.088 0.592 0.592
0.912 0.408 0.408
0.802 0.805 0.805
0.606 0.824 0.344
0.606 0.344 0.824
0.394 0.656 0.176
0.198 0.195 0.195
0.000 0.000 0.000
0.316 0.755 0.755
0.684 0.245 0.245

=====

Tb4Dy3Pu, optimized geometry, DFT PBE; SG = Immm, No. 71; formation enthalpy at 0 K = 0.15 eV/atom
1.0
3.326 0.000 -0.805
-1.186 10.364 -4.898
0.279 -2.392 8.427
Dy Tb Pu
3 4 1
Direct
0.763 0.763 0.527
0.237 0.237 0.473
0.000 0.500 0.000
0.368 0.116 0.737
0.632 0.884 0.263
0.632 0.380 0.263
0.368 0.620 0.737
0.500 0.000 0.000

=====

TbDyPu, optimized geometry, DFT PBE; SG = Pmmn, No. 59; formation enthalpy at 0 K = 0.17 eV/atom; polymorph energy (0 for the lowest one) = 55 meV per atom
1.0
3.369 0.000 0.000
0.000 5.559 0.000
0.000 0.000 9.682
Dy Pu Tb
2 2 2
Direct
0.500 0.500 0.066
0.000 0.000 0.934
0.500 0.000 0.254
0.000 0.500 0.746
0.500 0.000 0.600
0.000 0.500 0.400

=====

TbDy2Pu, optimized geometry, DFT PBE; SG = P4/mmm, No. 123; formation enthalpy at 0 K = 0.14 eV/atom; polymorph energy (0 for the lowest one) = 43 meV per atom
1.0
-4.388 1.947 1.267
0.747 -1.379 4.708
2.199 4.352 0.926
Dy Pu Tb
2 1 1
Direct
0.000 0.500 0.000
0.000 0.000 0.500
0.500 0.500 0.500
0.500 0.000 0.000

=====

TbDyPu, optimized geometry, DFT PBE; SG = P3m1, No. 156; formation enthalpy at 0 K = 0.13 eV/atom; polymorph energy (0 for the lowest one) = 15 meV per atom
1.0
3.520 0.000 0.000
-1.760 3.049 0.000
0.000 0.000 8.529
Tb Dy Pu
1 1 1
Direct
0.000 0.000 0.002
0.333 0.667 0.664
0.667 0.333 0.334

=====

Tb12Dy6Pu, optimized geometry, DFT PBE; SG = R-3, No. 148; formation enthalpy at 0 K = 0.03 eV/atom
1.0
8.859 -0.604 -3.021
-4.038 7.908 -3.021
-0.398 -0.604 9.351
Tb Dy Pu
12 6 1
Direct
0.419 0.629 0.945
0.261 0.895 0.844
0.371 0.055 0.581
0.629 0.945 0.419
0.895 0.844 0.261
0.156 0.739 0.105
0.581 0.371 0.055
0.844 0.261 0.895
0.055 0.581 0.371
0.739 0.105 0.156
0.105 0.156 0.739
0.945 0.419 0.629
0.209 0.314 0.471
0.686 0.529 0.791
0.791 0.686 0.529
0.529 0.791 0.686
0.471 0.209 0.314
0.314 0.471 0.209
0.000 0.000 0.000

=====

Tb4Dy7Pu, optimized geometry, DFT PBE; SG = C2/m, No. 12; formation enthalpy at 0 K = 0.14 eV/atom
1.0
5.648 1.268 1.371
3.312 9.872 4.487
0.711 2.417 8.469
Tb Dy Pu
4 7 1
Direct
0.519 0.853 0.737
0.481 0.409 0.737
0.481 0.147 0.263
0.519 0.591 0.263
0.163 0.313 0.538
0.867 0.386 0.000
0.162 0.850 0.463
0.500 0.000 0.000
0.837 0.687 0.462
0.133 0.614 0.000
0.838 0.150 0.537
0.000 0.000 0.000

=====

TbDy2Pu, optimized geometry, DFT PBE; SG = R3m, No. 160; formation enthalpy at 0 K = 0.10 eV/atom; polymorph energy (0 for the lowest one) = 0 meV per atom
1.0
-3.378 -1.049 -0.044
-0.790 -3.433 0.320
-1.897 -0.327 11.376
Pu Dy Tb
1 2 1
Direct
0.666 0.666 0.001
0.082 0.082 0.754
0.251 0.251 0.246
0.500 0.500 0.499

=====

TbDyPu4, optimized geometry, DFT PBE; SG = F-43m, No. 216; formation enthalpy at 0 K = 0.23 eV/atom
1.0
-2.637 0.665 -5.527
-5.958 -1.369 -0.755
-4.100 4.502 -0.935
Pu Dy Tb
4 1 1
Direct
0.625 0.625 0.125
0.125 0.625 0.625
0.625 0.125 0.625
0.625 0.625 0.625
0.250 0.250 0.250
0.000 0.000 0.000

=====

TbDy2Pu, optimized geometry, DFT PBE; SG = P4/mmm, No. 123; formation enthalpy at 0 K = 0.10 eV/atom; polymorph energy (0 for the lowest one) = 2 meV per atom
1.0
-1.513 -1.044 -2.971
3.093 0.125 -1.619
1.691 -9.546 2.494
Pu Dy Tb
1 2 1
Direct
0.500 0.500 0.500
0.000 0.000 0.255
0.000 0.000 0.745
0.500 0.500 0.000

=====

Tb4Dy6Pu, optimized geometry, DFT PBE; SG = Cmcm, No. 63; formation enthalpy at 0 K = 0.17 eV/atom
1.0
-2.085 -2.836 0.011
5.458 -1.870 -10.201
12.270 -8.989 8.213
Dy Tb Pu
12 8 2
Direct
0.241 0.482 0.582
0.241 0.482 0.918
0.246 0.493 0.250
0.500 0.000 0.000
0.010 0.020 0.339
0.500 0.000 0.500
0.990 0.980 0.661
0.759 0.518 0.082
0.990 0.980 0.839
0.754 0.507 0.750
0.010 0.020 0.161
0.759 0.518 0.418
0.130 0.260 0.449
0.381 0.763 0.360
0.130 0.260 0.051
0.381 0.763 0.140
0.619 0.237 0.640
0.870 0.740 0.949
0.619 0.237 0.860
0.870 0.740 0.551
0.377 0.755 0.750
0.623 0.245 0.250

=====

Tb8Dy2Pu, optimized geometry, DFT PBE; SG = C2/m, No. 12; formation enthalpy at 0 K = 0.04 eV/atom; polymorph energy (0 for the lowest one) = 0 meV per atom
1.0
-3.549 -0.054 -3.522
-2.139 -7.284 2.267
-3.256 5.647 6.745
Dy Tb Pu
2 8 1
Direct
0.227 0.636 0.454
0.773 0.364 0.546
0.410 0.549 0.819
0.590 0.451 0.181
0.955 0.270 0.911
0.680 0.909 0.360
0.136 0.180 0.271
0.045 0.730 0.089
0.320 0.091 0.640
0.864 0.820 0.729
0.500 0.000 0.000

=====

Tb6DyPu, optimized geometry, DFT PBE; SG = C2/m, No. 12; formation enthalpy at 0 K = 0.37 eV/atom; polymorph energy (0 for the lowest one) = 149 meV per atom
1.0
6.894 0.874 0.000
2.640 6.452 0.000
1.320 3.226 6.083
Tb Dy Pu
6 1 1
Direct
0.747 0.488 0.561
0.253 0.951 0.561
0.747 0.049 0.439
0.253 0.512 0.439
0.261 0.265 0.000
0.739 0.735 0.000
0.000 0.000 0.000
0.500 0.500 0.000

=====

TbDy2Pu, optimized geometry, DFT PBE; SG = R-3m, No. 166; formation enthalpy at 0 K = 0.26 eV/atom; polymorph energy (0 for the lowest one) = 165 meV per atom
1.0
-2.929 -1.713 -0.586
-0.060 -3.435 0.226
-3.851 -0.888 11.723
Dy Pu Tb
2 1 1
Direct
0.089 0.089 0.734
0.911 0.911 0.266
0.000 0.000 0.000
0.500 0.500 0.500

=====

Tb12Dy3Pu, optimized geometry, DFT PBE; SG = P4/mmm, No. 123; formation enthalpy at 0 K = 0.04 eV/atom
1.0
-4.744 1.037 1.263
0.006 -3.866 3.199
6.530 12.093 14.599
Dy Tb Pu
3 12 1
Direct
0.000 0.000 0.248
0.000 0.000 0.500
0.000 0.000 0.752
0.500 0.000 0.878
0.500 0.500 0.000
0.500 0.000 0.626
0.000 0.500 0.878
0.500 0.500 0.751
0.000 0.500 0.626
0.500 0.000 0.122
0.500 0.000 0.374
0.500 0.500 0.249
0.000 0.500 0.122
0.000 0.500 0.374
0.500 0.500 0.500
0.000 0.000 0.000

=====

Tb4Dy10Pu, optimized geometry, DFT PBE; SG = I4/mmm, No. 139; formation enthalpy at 0 K = 0.26 eV/atom
1.0
7.040 0.000 3.179
3.520 7.944 1.589
0.251 0.000 8.829
Tb Dy Pu
4 10 1
Direct
0.231 0.538 0.000
0.769 0.000 0.462
0.231 0.000 0.538
0.769 0.462 0.000
0.713 0.208 0.792
0.287 0.792 0.208
0.287 0.208 0.792
0.921 0.792 0.792
0.750 0.500 0.500
0.496 0.792 0.792
0.250 0.500 0.500
0.504 0.208 0.208
0.079 0.208 0.208
0.713 0.792 0.208
0.000 0.000 0.000